[1]
A plane-wave DFT calculation with PBE-GGA was carried out for a relaxed structure of La3NdTh.

a = 7.1012 Å, b = 7.0001 Å, c = 14.2889 Å
α = 90.00°, β = 90.00°, γ = 90.00°
Element x y z (fractional)
La 0.5000 0.2500 0.4932
La 0.2500 0.4877 0.6996
La 0.5000 0.7500 0.5068
La 0.2500 0.7438 0.0790
La 0.2500 0.9877 0.3004
La 0.2500 0.2438 0.9210
La 0.0000 0.2500 0.4932
La 0.7500 0.7562 0.0790
La 0.7500 0.2562 0.9210
La 0.7500 0.0123 0.6996
La 0.0000 0.7500 0.5068
La 0.7500 0.5123 0.3004
Th 0.0000 0.2500 0.1197
Th 0.5000 0.7500 0.8803
Th 0.5000 0.2500 0.1197
Th 0.0000 0.7500 0.8803
Nd 0.2500 0.9862 0.6940
Nd 0.7500 0.5138 0.6940
Nd 0.2500 0.4862 0.3060
Nd 0.7500 0.0138 0.3060

E_tot	-5.279	eV per atom
space-group type	Pbcm
total moment	0.00	μB/f.u.
density	7.42	g/cm³
energy of formation from the pure elements	0.115	eV/atom


[2]
A plane-wave DFT calculation with PBE-GGA was carried out for a relaxed structure of Ho9Er11Sc4.

a = 14.8058 Å, b = 14.8058 Å, c = 3.5670 Å
α = 90.00°, β = 90.00°, γ = 113.02°
Element x y z (fractional)
Ho 0.6288 0.1654 0.5000
Ho 0.5000 0.5000 0.5000
Ho 0.3712 0.8346 0.5000
Ho 0.0724 0.2170 0.5000
Ho 0.7830 0.9276 0.5000
Ho 0.1654 0.6288 0.5000
Ho 0.8346 0.3712 0.5000
Ho 0.9276 0.7830 0.5000
Ho 0.2170 0.0724 0.5000
Sc 0.4461 0.2434 0.5000
Sc 0.2434 0.4461 0.5000
Sc 0.5539 0.7566 0.5000
Sc 0.7566 0.5539 0.5000
Er 0.8404 0.1596 0.0000
Er 0.3699 0.6301 0.0000
Er 0.2974 0.2974 0.0000
Er 0.0468 0.4073 0.0000
Er 0.7026 0.7026 0.0000
Er 0.4073 0.0468 0.0000
Er 0.5927 0.9532 0.0000
Er 0.1596 0.8404 0.0000
Er 0.0000 0.0000 0.0000
Er 0.6301 0.3699 0.0000
Er 0.9532 0.5927 0.0000

E_tot	-4.820	eV per atom
space-group type	Cmmm
total moment	0.00	μB/f.u.
density	8.09	g/cm³
energy of formation from the pure elements	0.043	eV/atom


[3]
A plane-wave DFT calculation with PBE-GGA was carried out for a relaxed structure of TaReSe2N.

a = 5.1471 Å, b = 5.1471 Å, c = 3.8556 Å
α = 90.00°, β = 90.00°, γ = 90.00°
Site moments in Bohr magnetons follow the coordinates.
Element x y z (fractional)
Ta 0.0000 0.0000 0.0000  0.07
Se 0.5000 0.0000 0.0000  -0.02
Se 0.0000 0.5000 0.0000  -0.02
Re 0.5000 0.5000 0.5000  3.48
N 0.0000 0.0000 0.5000  0.08

E_tot	-7.039	eV per atom
uncorrected formation energy	0.880	eV per atom
space-group type	P4/mmm
total moment	4.32	μB/f.u.
density	8.76	g/cm³


[4]
A plane-wave DFT calculation with PBE-GGA was carried out for a relaxed structure of AgHgRh2.

a = 2.8912 Å, b = 3.7176 Å, c = 6.3027 Å
α = 90.00°, β = 90.00°, γ = 90.00°
Element x y z (fractional)
Rh 0.5000 0.5000 0.2231
Rh 0.0000 0.0000 0.0329
Hg 0.5000 0.5000 0.7597
Ag 0.0000 0.0000 0.4843

E_tot	-4.263	eV per atom
space-group type	Pmm2
total moment	0.00	μB/f.u.
density	12.61	g/cm³
energy of formation from the pure elements	0.201	eV/atom


[5]
A plane-wave DFT calculation with PBE-GGA was carried out for a relaxed structure of RbCu2Rh.

a = 5.1208 Å, b = 5.1208 Å, c = 8.9610 Å
α = 73.40°, β = 73.40°, γ = 90.00°
Element x y z (fractional)
Rh 0.7500 0.2500 0.5000
Rh 0.0000 0.0000 0.0000
Rb 0.5000 0.5000 0.0000
Rb 0.2500 0.7500 0.5000
Cu 0.8750 0.1248 0.7500
Cu 0.8752 0.6250 0.2500
Cu 0.3750 0.1252 0.7500
Cu 0.8748 0.1250 0.2500

E_tot	-3.488	eV per atom
space-group type	I4_1/amd
total moment	0.02	μB/f.u.
density	4.87	g/cm³
energy of formation from the pure elements	0.639	eV/atom


[6]
A plane-wave DFT calculation with PBE-GGA was carried out for a relaxed structure of K2HgPdO.

a = 5.6455 Å, b = 5.6455 Å, c = 4.0411 Å
α = 90.00°, β = 90.00°, γ = 90.00°
Site moments in Bohr magnetons follow the coordinates.
Element x y z (fractional)
O 0.0000 0.0000 0.0000  0.18
Hg 0.5000 0.5000 0.5000  0.00
K 0.5000 0.0000 0.0000  0.00
K 0.0000 0.5000 0.0000  0.00
Pd 0.0000 0.0000 0.5000  0.26

E_tot	-3.071	eV per atom
uncorrected formation energy	-0.541	eV per atom
space-group type	P4/mmm
total moment	0.43	μB/f.u.
density	5.17	g/cm³


[7]
A plane-wave DFT calculation with PBE-GGA was carried out for a relaxed structure of CsSnSe2.

a = 4.2747 Å, b = 4.2747 Å, c = 9.0525 Å
α = 90.00°, β = 90.00°, γ = 120.00°
Element x y z (fractional)
Se 0.3333 0.6667 0.8331
Se 0.6667 0.3333 0.1767
Sn 0.0000 0.0000 0.9968
Cs 0.3333 0.6667 0.4483

E_tot	-3.552	eV per atom
uncorrected formation energy	-0.596	eV per atom
space-group type	P3m1
total moment	0.00	μB/f.u.
density	4.75	g/cm³


[8]
A plane-wave DFT calculation with PBE-GGA was carried out for a relaxed structure of SrY3H.

a = 5.8049 Å, b = 5.8049 Å, c = 5.8049 Å
α = 90.00°, β = 90.00°, γ = 90.00°
Element x y z (fractional)
Y 0.0000 0.5000 0.0000
Y 0.0000 0.0000 0.5000
Y 0.5000 0.0000 0.0000
Sr 0.0000 0.0000 0.0000
H 0.5000 0.5000 0.5000

E_tot	-3.214	eV per atom
space-group type	Pm-3m
total moment	0.00	μB/f.u.
density	3.02	g/cm³